Material: YAgHg
Method: DFT, GGA-PBEsol
State: optimized geometry

```
YAgHg
1.0
-0.3234 2.9531 3.7817
2.9207 -0.5968 3.7736
3.4930 3.1901 0.8653
Hg Ag Y
1 1 1
Direct
0.5000 0.5000 0.5000
0.0000 0.0000 0.0000
0.2500 0.2500 0.2500
```

Its formation energy is 0.0 eV per formula unit.